1.
# SrY2NiMo, optimized geometry, DFT PBE
data_SrY2NiMo
_cell_length_a 5.567
_cell_length_b 5.567
_cell_length_c 4.533
_cell_angle_alpha 90.00
_cell_angle_beta 90.00
_cell_angle_gamma 90.00
_space_group_name_H-M_alt 'P 1'
_space_group_IT_number 1
loop_
_space_group_symop_operation_xyz
'x,y,z'
loop_
_atom_site_label
_atom_site_type_symbol
_atom_site_fract_x
_atom_site_fract_y
_atom_site_fract_z
Sr1 Sr 0.000 0.000 0.000
Y1 Y 0.000 0.500 0.000
Y2 Y 0.500 0.000 0.000
Ni1 Ni 0.000 0.000 0.500
Mo1 Mo 0.500 0.500 0.500
# Energy of formation in eV/atom: 1.787
# Spin magnetization in μB per cell: 2.7


2.
# CaSc2Se, optimized geometry, DFT PBE
data_CaSc2Se
_cell_length_a 6.251
_cell_length_b 6.251
_cell_length_c 5.112
_cell_angle_alpha 114.05
_cell_angle_beta 114.05
_cell_angle_gamma 33.19
_space_group_name_H-M_alt 'P 1'
_space_group_IT_number 1
loop_
_space_group_symop_operation_xyz
'x,y,z'
loop_
_atom_site_label
_atom_site_type_symbol
_atom_site_fract_x
_atom_site_fract_y
_atom_site_fract_z
Ca1 Ca 0.000 0.000 0.000
Sc1 Sc 0.591 0.591 0.591
Sc2 Sc 0.801 0.801 0.302
Se1 Se 0.280 0.280 0.782
# Spin magnetization in μB per cell: 0.0
# Formation energy (no corrections) in meV/atom: -494


no.,uncorrected energy (eV/atom)
1,-4.458
2,-5.031